(1)
! Tl5IBr5 | Alexandria via LeMat-Bulk | PBE | optimized geometry; values from VASP
&SYSTEM
  ibrav = 0, nat = 11, ntyp = 3
/
ATOMIC_SPECIES
Tl 204.38 Tl.upf
Br 79.90 Br.upf
I 126.90 I.upf
CELL_PARAMETERS angstrom
-2.847 -3.913 4.415
8.350 -4.720 1.202
1.157 7.515 2.546
ATOMIC_POSITIONS angstrom
Tl -1.424 -1.956 2.208
Tl 3.780 -1.391 6.064
Tl -0.011 0.890 5.641
Br 5.513 0.562 4.053
Br 5.626 -4.074 4.877
Br 1.147 -1.679 4.110
Br 1.034 2.957 3.287
Tl 6.671 -2.008 2.523
Tl 2.880 0.274 2.100
Br 4.175 -2.360 0.601
I 0.000 0.000 0.000
! - Formation energy (no corrections): -0.720 eV per atom
! - M_tot: 0.0 μB per cell
! - Crystal system: monoclinic

(2)
! Tl2IBr2 | Alexandria via LeMat-Bulk | PBE | optimized geometry; values from VASP
&SYSTEM
  ibrav = 0, nat = 5, ntyp = 3
/
ATOMIC_SPECIES
Tl 204.38 Tl.upf
I 126.90 I.upf
Br 79.90 Br.upf
CELL_PARAMETERS angstrom
5.466 0.000 0.000
0.000 5.466 0.000
2.733 2.733 6.452
ATOMIC_POSITIONS angstrom
Tl 2.733 2.733 1.690
I 0.000 0.000 0.000
Br 2.733 5.466 3.226
Br 5.466 2.733 3.226
Tl 5.466 5.466 4.762
! - Formation energy (no corrections): -0.450 eV per atom
! - Energy above the most stable polymorph in this dataset: 95.6 meV per atom
! - M_tot: 0.8 μB per cell
! - Crystal system: tetragonal

(3)
! TlIBr | Alexandria via LeMat-Bulk | PBE | optimized geometry; values from VASP
&SYSTEM
  ibrav = 0, nat = 6, ntyp = 3
/
ATOMIC_SPECIES
Tl 204.38 Tl.upf
I 126.90 I.upf
Br 79.90 Br.upf
CELL_PARAMETERS angstrom
5.703 0.000 0.000
0.000 4.184 0.000
-2.851 -2.092 11.011
ATOMIC_POSITIONS angstrom
Tl 0.000 2.092 3.940
I 1.429 2.092 0.000
Br 2.851 0.000 4.029
I 4.273 2.092 0.000
Tl 2.851 0.000 7.071
Br 0.000 2.092 6.982
! - Formation energy (no corrections): -0.478 eV per atom
! - Energy above the most stable polymorph in this dataset: 86.7 meV per atom
! - M_tot: 0.0 μB per cell
! - Crystal system: orthorhombic

(4)
! Tl5I5Br | Alexandria via LeMat-Bulk | PBE | optimized geometry; values from VASP
&SYSTEM
  ibrav = 0, nat = 11, ntyp = 3
/
ATOMIC_SPECIES
Tl 204.38 Tl.upf
I 126.90 I.upf
Br 79.90 Br.upf
CELL_PARAMETERS angstrom
-0.212 -3.166 5.986
7.588 -0.380 -3.766
-0.472 8.617 4.541
ATOMIC_POSITIONS angstrom
Tl -0.106 -1.583 2.993
I 2.084 4.983 6.544
Tl 4.677 2.843 5.504
Tl 1.960 6.493 3.504
Tl 2.227 2.228 1.258
I 4.554 4.467 2.525
Br 0.000 0.000 0.000
I 4.820 0.088 0.218
I -0.236 4.309 2.271
Tl 4.944 -1.421 3.258
I 2.350 0.604 4.237
! - Formation energy (no corrections): -0.596 eV per atom
! - M_tot: 0.0 μB per cell
! - Crystal system: monoclinic

(5)
! Tl2I2Br | Alexandria via LeMat-Bulk | PBE | optimized geometry; values from VASP
&SYSTEM
  ibrav = 0, nat = 10, ntyp = 3
/
ATOMIC_SPECIES
I 126.90 I.upf
Tl 204.38 Tl.upf
Br 79.90 Br.upf
CELL_PARAMETERS angstrom
9.133 0.000 0.000
0.000 9.133 0.000
0.000 0.000 4.764
ATOMIC_POSITIONS angstrom
I 3.405 1.161 2.382
I 1.161 5.728 2.382
Tl 2.734 7.301 0.000
Tl 6.398 1.832 0.000
Br 4.566 4.566 0.000
I 7.971 3.405 2.382
Br 0.000 0.000 0.000
Tl 7.301 6.398 0.000
Tl 1.832 2.734 0.000
I 5.728 7.971 2.382
! - Formation energy (no corrections): -0.467 eV per atom
! - Energy above the most stable polymorph in this dataset: 4.2 meV per atom
! - M_tot: 0.0 μB per cell
! - Crystal system: tetragonal

(6)
! Tl4I2Br | Alexandria via LeMat-Bulk | PBE | optimized geometry; values from VASP
&SYSTEM
  ibrav = 0, nat = 7, ntyp = 3
/
ATOMIC_SPECIES
Tl 204.38 Tl.upf
I 126.90 I.upf
Br 79.90 Br.upf
CELL_PARAMETERS angstrom
6.202 0.000 0.000
0.000 6.202 0.000
3.101 3.101 8.748
ATOMIC_POSITIONS angstrom
Tl 6.202 6.202 3.199
I 3.101 3.101 2.167
Br 0.000 0.000 0.000
I 6.202 6.202 6.580
Tl 0.000 3.101 0.000
Tl 3.101 3.101 5.549
Tl 3.101 0.000 0.000
! - Formation energy (no corrections): -0.380 eV per atom
! - M_tot: 0.0 μB per cell
! - Crystal system: tetragonal

(7)
! TlI2Br | Alexandria via LeMat-Bulk | PBE | optimized geometry; values from VASP
&SYSTEM
  ibrav = 0, nat = 16, ntyp = 3
/
ATOMIC_SPECIES
I 126.90 I.upf
Tl 204.38 Tl.upf
Br 79.90 Br.upf
CELL_PARAMETERS angstrom
6.481 -0.001 0.001
-0.001 6.958 -0.002
0.002 0.011 16.881
ATOMIC_POSITIONS angstrom
I 4.781 6.854 9.835
I 1.694 3.603 9.840
I 1.540 3.599 15.488
Tl 6.480 1.747 10.953
I 4.788 3.365 7.040
Br 4.859 3.259 12.663
Tl 0.002 5.221 5.927
Br 1.623 3.709 4.216
Br 1.618 0.235 12.663
Tl 3.240 1.747 14.375
I 4.936 6.849 15.482
I 4.942 3.369 1.392
I 1.701 0.114 7.045
Br 4.863 6.733 4.217
Tl 3.242 5.221 2.505
I 1.546 0.119 1.398
! - Formation energy (no corrections): -0.308 eV per atom
! - Energy above the most stable polymorph in this dataset: 0.0 meV per atom
! - M_tot: 0.0 μB per cell
! - Crystal system: triclinic

(8)
! Tl3IBr2 | Alexandria via LeMat-Bulk | PBE | optimized geometry; values from VASP
&SYSTEM
  ibrav = 0, nat = 24, ntyp = 3
/
ATOMIC_SPECIES
Br 79.90 Br.upf
Tl 204.38 Tl.upf
I 126.90 I.upf
CELL_PARAMETERS angstrom
-3.395 -3.537 -4.839
8.266 -4.325 -2.633
-2.533 -10.673 9.579
ATOMIC_POSITIONS angstrom
Br 0.375 -10.427 4.900
Br 0.275 -15.095 3.488
Tl 0.428 -5.285 -3.787
Tl -1.352 -12.241 2.536
Tl -0.610 -8.609 -0.628
Tl 4.345 -7.309 -5.052
Tl 1.910 -13.250 5.893
Br -2.128 -5.766 -1.638
Tl -0.427 -4.061 0.824
Tl -1.412 -7.669 4.142
Br -3.028 -9.434 1.664
Br 2.063 -3.440 -1.381
Br 5.365 -9.101 0.442
Tl 3.690 -6.294 -0.429
I 1.167 -11.515 0.241
Tl 2.764 -14.474 1.282
I 1.170 -7.020 1.866
Tl 2.947 -9.926 2.734
I -3.845 -13.058 4.883
I 6.183 -5.478 -2.776
Br 4.465 -12.769 3.745
Tl 3.749 -10.866 -2.035
Br 1.963 -8.108 -2.794
Tl -2.008 -11.226 7.158
! - Formation energy (no corrections): -0.790 eV per atom
! - M_tot: 0.0 μB per cell
! - Crystal system: monoclinic

(9)
! Tl5I4Br | Alexandria via LeMat-Bulk | PBE | optimized geometry; values from VASP
&SYSTEM
  ibrav = 0, nat = 10, ntyp = 3
/
ATOMIC_SPECIES
Tl 204.38 Tl.upf
Br 79.90 Br.upf
I 126.90 I.upf
CELL_PARAMETERS angstrom
-3.652 -2.927 -1.703
3.201 -3.801 -0.329
-3.675 -1.344 17.476
ATOMIC_POSITIONS angstrom
Tl -3.376 -7.167 12.278
Br 0.000 0.000 0.000
Tl -0.226 -3.364 -1.016
I -1.004 -4.304 2.268
I -3.122 -3.769 13.176
Tl -0.750 -0.905 3.166
I -2.580 -6.207 8.922
Tl -2.335 -2.819 9.855
Tl -1.791 -5.254 5.589
I -1.545 -1.866 6.522
! - Formation energy (no corrections): -0.700 eV per atom
! - M_tot: 0.0 μB per cell
! - Crystal system: tetragonal

(10)
! Tl2I3Br6 | Alexandria via LeMat-Bulk | PBE | optimized geometry; values from VASP
&SYSTEM
  ibrav = 0, nat = 22, ntyp = 3
/
ATOMIC_SPECIES
I 126.90 I.upf
Br 79.90 Br.upf
Tl 204.38 Tl.upf
CELL_PARAMETERS angstrom
8.649 0.000 2.413
3.984 7.746 2.428
-0.288 -0.054 17.742
ATOMIC_POSITIONS angstrom
I 8.521 4.297 16.494
Br 5.283 2.657 12.466
Br 2.830 3.203 8.607
Br 8.462 6.557 5.100
Br 9.514 4.489 13.976
Br 4.511 7.481 13.062
Br 7.062 5.035 10.117
I 8.271 0.451 6.854
Tl 3.945 5.147 10.926
Tl 5.925 6.392 20.536
Br 7.833 0.211 9.521
I 4.074 7.241 15.729
I 7.781 5.796 7.614
Tl 6.419 1.301 2.047
Br 7.515 4.057 19.002
Br 3.883 1.135 17.483
Br 4.829 3.635 3.581
Tl 8.400 2.545 11.657
Br 8.725 0.643 4.186
Br 3.620 7.049 18.397
I 3.823 3.395 6.089
I 4.564 1.896 14.969
! - Formation energy (no corrections): -0.324 eV per atom
! - M_tot: 0.0 μB per cell
! - Crystal system: monoclinic

(11)
! Tl2IBr2 | Alexandria via LeMat-Bulk | PBE | optimized geometry; values from VASP
&SYSTEM
  ibrav = 0, nat = 10, ntyp = 3
/
ATOMIC_SPECIES
I 126.90 I.upf
Br 79.90 Br.upf
Tl 204.38 Tl.upf
CELL_PARAMETERS angstrom
9.352 0.000 0.000
0.000 9.352 0.000
0.000 0.000 3.942
ATOMIC_POSITIONS angstrom
I 0.000 0.000 0.000
Br 1.336 6.012 1.971
Br 8.016 3.340 1.971
Br 6.012 8.016 1.971
Tl 3.210 7.886 0.000
Tl 6.143 1.467 0.000
Br 3.340 1.336 1.971
Tl 7.886 6.143 0.000
Tl 1.467 3.210 0.000
I 4.676 4.676 0.000
! - Formation energy (no corrections): -0.516 eV per atom
! - Energy above the most stable polymorph in this dataset: 29.5 meV per atom
! - M_tot: 0.0 μB per cell
! - Crystal system: tetragonal

(12)
! Tl3IBr2 | Alexandria via LeMat-Bulk | PBE | optimized geometry; values from VASP
&SYSTEM
  ibrav = 0, nat = 12, ntyp = 3
/
ATOMIC_SPECIES
I 126.90 I.upf
Tl 204.38 Tl.upf
Br 79.90 Br.upf
CELL_PARAMETERS angstrom
6.903 0.000 0.000
0.000 9.705 0.003
-3.452 -2.428 7.267
ATOMIC_POSITIONS angstrom
I 6.887 7.279 0.002
Tl 0.005 4.851 2.570
Tl 3.447 2.426 4.701
Br -0.005 2.425 4.878
Tl -0.005 -0.001 2.568
Tl 3.436 7.279 0.002
Br 3.456 4.852 2.392
Tl 3.467 2.426 0.001
Br 3.447 0.000 2.391
Tl 3.457 7.278 4.702
Br 0.005 7.277 4.880
I 0.016 2.426 0.001
! - Formation energy (no corrections): -0.791 eV per atom
! - M_tot: 0.0 μB per cell
! - Crystal system: monoclinic